VASP calculation (PBE-GGA) on crystalline TaReTcW at its relaxed geometry.

Properties
- space group = Pmmm, No. 47
- magnetic moment (μB per atom) = 0.00
- distance to the lowest polymorph of the same formula (meV per atom) = 0
- energy of formation from the pure elements (eV per atom) = -0.194
- total DFT energy (no corrections) (eV/atom) = -12.099

```
TaReTcW
1.0
3.158 0.000 0.000
0.000 4.463 0.000
0.000 0.000 4.510
Ta Tc W Re
1 1 1 1
direct
0.000 0.500 0.500 Ta
0.500 0.000 0.500 Tc
0.000 0.000 0.000 W
0.500 0.500 0.000 Re
```

---

VASP calculation (PBE-GGA) on crystalline YTaReTc2 at its relaxed geometry.

Properties
- space group = P4/mmm, No. 123
- magnetic moment (μB per atom) = 0.00
- energy of formation from the pure elements (eV per atom) = 1.495
- total DFT energy (no corrections) (eV/atom) = -8.804

```
YTaReTc2
1.0
4.689 0.000 0.000
0.000 5.033 0.000
0.000 0.000 4.689
Ta Tc Re Y
1 2 1 1
direct
0.500 0.500 0.500 Ta
0.000 0.000 0.500 Tc
0.500 0.000 0.000 Tc
0.000 0.000 0.000 Re
0.000 0.500 0.000 Y
```

---

VASP calculation (PBE-GGA) on crystalline TaReTe2 at its relaxed geometry.

Properties
- ΔE_f (raw) (eV/atom) = 0.471
- space group = P4/mmm, No. 123
- magnetic moment (μB per atom) = 0.00
- distance to the lowest polymorph of the same formula (meV per atom) = 459
- total DFT energy (no corrections) (eV/atom) = -7.175

```
TaReTe2
1.0
4.737 0.002 0.000
-0.002 4.737 0.000
0.000 0.000 3.362
Re Te Ta
1 2 1
direct
0.500 0.000 0.500 Re
0.000 0.000 0.000 Te
0.500 0.500 0.000 Te
0.000 0.500 0.500 Ta
```

---

VASP calculation (PBE-GGA) on crystalline Ta2ReTe at its relaxed geometry.

Properties
- ΔE_f (raw) (eV/atom) = 0.451
- space group = P4/mmm, No. 123
- magnetic moment (μB per atom) = 0.00
- total DFT energy (no corrections) (eV/atom) = -9.373

```
Ta2ReTe
1.0
4.346 0.000 0.000
0.000 4.068 0.000
0.000 0.000 4.068
Ta Re Te
2 1 1
direct
0.000 0.000 0.000 Ta
0.000 0.500 0.500 Ta
0.500 0.000 0.500 Re
0.500 0.500 0.000 Te
```

---

VASP calculation (PBE-GGA) on crystalline Ta2ReTe at its relaxed geometry.

Properties
- ΔE_f (raw) (eV/atom) = 0.272
- space group = C2/m, No. 12
- magnetic moment (μB per atom) = 0.00
- total DFT energy (no corrections) (eV/atom) = -9.552

```
Ta2ReTe
1.0
4.776 0.002 -0.005
-3.539 5.498 0.008
0.192 1.751 2.772
Re Ta Te
1 2 1
direct
0.500 0.000 0.500 Re
0.000 0.500 0.500 Ta
0.000 0.000 0.000 Ta
0.500 0.500 0.000 Te
```

---

VASP calculation (PBE-GGA) on crystalline Ta2ReTe at its relaxed geometry.

Properties
- ΔE_f (raw) (eV/atom) = 0.282
- space group = Pmmm, No. 47
- magnetic moment (μB per atom) = 0.00
- total DFT energy (no corrections) (eV/atom) = -9.542

```
Ta2ReTe
1.0
3.347 0.000 0.000
0.000 4.756 0.000
0.000 0.000 4.513
Ta Re Te
2 1 1
direct
0.500 0.500 0.000 Ta
0.000 0.000 0.000 Ta
0.000 0.500 0.500 Re
0.500 0.000 0.500 Te
```

---

VASP calculation (PBE-GGA) on crystalline TaRe2Te at its relaxed geometry.

Properties
- ΔE_f (raw) (eV/atom) = 0.554
- space group = I-4m2, No. 119
- magnetic moment (μB per atom) = 0.00
- total DFT energy (no corrections) (eV/atom) = -9.418

```
TaRe2Te
1.0
5.217 0.014 0.000
2.262 4.701 0.000
-3.739 -2.358 2.771
Re Ta Te
2 1 1
direct
0.000 0.000 0.000 Re
0.250 0.750 0.500 Re
0.500 0.500 0.000 Ta
0.750 0.250 0.500 Te
```

---

VASP calculation (PBE-GGA) on crystalline TaReTe2 at its relaxed geometry.

Properties
- ΔE_f (raw) (eV/atom) = 0.868
- space group = C2/m, No. 12
- magnetic moment (μB per atom) = 0.00
- distance to the lowest polymorph of the same formula (meV per atom) = 856
- total DFT energy (no corrections) (eV/atom) = -6.778

```
TaReTe2
1.0
5.505 -0.004 0.007
-1.919 4.428 -0.002
1.061 0.940 3.440
Te Ta Re
2 1 1
direct
0.000 0.500 0.500 Te
0.000 0.000 0.000 Te
0.500 0.000 0.500 Ta
0.500 0.500 0.000 Re
```